Entry from Alexandria via LeMat-Bulk: a PBEsol-optimized structure of Mn2Ru (SCAN).

## Properties
As for the formation energy: 0.10 eV per atom. Its total magnetic moment is 0.424 μB per atom. As for the raw total energy: -23.68 eV/atom.

abc: 4.586 4.586 4.586
angles: 60.00 60.00 60.00
Element x y z (fractional)
Mn 0.000 0.000 0.000
Mn 0.000 0.000 0.500
Mn 0.000 0.500 0.000
Mn 0.500 0.000 0.000
Ru 0.375 0.375 0.375
Ru 0.625 0.625 0.625